(1)
A plane-wave DFT calculation with PBE-GGA was carried out for an optimized crystal structure of Tb2Sm5Dy2.

Formation enthalpy at 0 K   0.22 eV/atom
Size of the total moment   0.00 μB per cell
E above lowest polymorph   91 meV/atom

Cell: 14.895 11.834 6.792 Å, 90.00 90.00 90.00°
Space group Ima2 (No. 46)
Unique sites:
Tb1 0.127 0.003 0.000 x8
Sm1 0.051 0.744 0.346 x8
Sm2 0.144 0.234 0.673 x8
Sm3 0.250 0.744 0.652 x4
Dy1 0.000 0.000 0.520 x4
Dy2 0.250 0.008 0.454 x4

---

(2)
A plane-wave DFT calculation with PBE-GGA was carried out for an optimized crystal structure of Cs3Zr3UTe8.

Formation energy without anion corrections   -0.936 eV per atom
Size of the total moment   9.63 μB per cell

Cell: 8.4092 8.4092 27.6556 Å, 90.00 90.00 120.00°
Space group R-3m (No. 166, hexagonal axes)
Unique sites:
Cs1 0.0000 0.5000 0.0000 x9
Zr1 0.0000 0.5000 0.5000 x9
U1 0.0000 0.0000 0.5000 x3
Te1 0.0000 0.0000 0.2288 x6
Te2 0.0152 0.5076 0.7696 x18

---

(3)
A plane-wave DFT calculation with PBE-GGA was carried out for an optimized crystal structure of Ba3Sb2Pt4.

Formation energy without anion corrections   -0.791 eV per atom
Size of the total moment   0.00 μB per cell

Cell: 12.624 4.571 9.681 Å, 90.00 111.93 90.00°
Space group C2/m (No. 12)
Unique sites:
Ba1 0.000 0.000 0.000 x2
Ba2 0.121 0.500 0.696 x4
Sb1 0.154 0.500 0.291 x4
Pt1 0.173 0.000 0.438 x4
Pt2 0.224 0.500 0.060 x4

---

(4)
A plane-wave DFT calculation with PBE-GGA was carried out for an optimized crystal structure of Ca2PaSb3Rh4.

Formation energy without anion corrections   -0.723 eV per atom
Size of the total moment   0.00 μB per cell

Cell: 4.460 4.460 11.289 Å, 90.00 90.00 90.00°
Space group P-4m2 (No. 115)
Unique sites:
Ca1 0.000 0.500 0.220 x2
Pa1 0.000 0.000 0.500 x1
Sb1 0.000 0.500 0.869 x2
Sb2 0.500 0.500 0.500 x1
Rh1 0.000 0.000 0.000 x1
Rh2 0.000 0.500 0.637 x2
Rh3 0.500 0.500 0.000 x1

---

(5)
A plane-wave DFT calculation with PBE-GGA was carried out for an optimized crystal structure of Zr2AlGe.

Formation enthalpy at 0 K   -0.70 eV/atom
Size of the total moment   0.00 μB per cell

Cell: 5.492 3.878 7.789 Å, 90.00 110.31 90.00°
Space group P2_1/m (No. 11)
Unique sites:
Zr1 0.206 0.250 0.424 x2
Zr2 0.277 0.750 0.069 x2
Al1 0.380 0.750 0.709 x2
Ge1 0.134 0.250 0.792 x2

---

(6)
A plane-wave DFT calculation with PBE-GGA was carried out for an optimized crystal structure of NiBiCl3.

Formation energy without anion corrections   -0.243 eV per atom
Size of the total moment   0.00 μB per cell
E above lowest polymorph   0 meV/atom

Cell: 4.698 4.698 4.698 Å, 90.00 90.00 90.00°
Space group Pm-3m (No. 221)
Unique sites:
Ni1 0.000 0.000 0.000 x1
Bi1 0.500 0.500 0.500 x1
Cl1 0.000 0.000 0.500 x3

---

(7)
A plane-wave DFT calculation with PBE-GGA was carried out for an optimized crystal structure of NbMo4W.

Formation enthalpy at 0 K   0.15 eV/atom
Size of the total moment   0.00 μB per cell
E above lowest polymorph   223 meV/atom

Cell: 5.465 8.117 8.937 Å, 90.00 90.00 90.00°
Space group Cccm (No. 66)
Unique sites:
Nb1 0.250 0.250 0.000 x4
Mo1 0.000 0.166 0.250 x8
Mo2 0.249 0.415 0.500 x8
W1 0.000 0.500 0.250 x4

---

(8)
A plane-wave DFT calculation with PBE-GGA was carried out for an optimized crystal structure of Ba3VCu.

Formation enthalpy at 0 K   0.63 eV/atom
Size of the total moment   4.56 μB per cell
E above lowest polymorph   0 meV/atom

Cell: 6.147 6.147 6.147 Å, 90.00 90.00 90.00°
Space group Pm-3m (No. 221)
Unique sites:
Ba1 0.000 0.000 0.500 x3
V1 0.500 0.500 0.500 x1
Cu1 0.000 0.000 0.000 x1

---

(9)
A plane-wave DFT calculation with PBE-GGA was carried out for an optimized crystal structure of KPa4SnN8.

Formation energy without anion corrections   -1.076 eV per atom
Size of the total moment   0.00 μB per cell

Cell: 7.1183 7.1183 20.5687 Å, 90.00 90.00 120.00°
Space group R3m (No. 160, hexagonal axes)
Unique sites:
K1 0.0000 0.0000 0.0000 x3
Pa1 0.0000 0.0000 0.4554 x3
Pa2 0.1693 0.3385 0.8289 x9
Sn1 0.0000 0.0000 0.6038 x3
N1 0.0000 0.0000 0.2072 x3
N2 0.0000 0.0000 0.7919 x3
N3 0.0191 0.5096 0.7718 x9
N4 0.0390 0.5195 0.2043 x9

---

(10)
A plane-wave DFT calculation with PBE-GGA was carried out for an optimized crystal structure of Ti2CrHPt.

Raw total energy   -37.189 eV for the cell shown
Size of the total moment   0.00 μB per cell

Cell: 4.258 4.258 3.371 Å, 90.00 90.00 90.00°
Space group P4/mmm (No. 123)
Unique sites:
Ti1 0.000 0.500 0.000 x2
Cr1 0.000 0.000 0.500 x1
H1 0.000 0.000 0.000 x1
Pt1 0.500 0.500 0.500 x1

---

(11)
A plane-wave DFT calculation with PBE-GGA was carried out for an optimized crystal structure of AlCo2Pb.

Formation enthalpy at 0 K   0.16 eV/atom
Size of the total moment   4.95 μB per cell
E above lowest polymorph   195 meV/atom

Cell: 6.148 6.148 6.148 Å, 90.00 90.00 90.00°
Space group Fm-3m (No. 225)
Unique sites:
Al1 0.000 0.000 0.000 x4
Co1 0.250 0.250 0.250 x8
Pb1 0.000 0.000 0.500 x4

---

(12)
A plane-wave DFT calculation with PBE-GGA was carried out for an optimized crystal structure of TbReClO4.

Formation energy without anion corrections   -2.157 eV per atom
Size of the total moment   4.00 μB per cell

Cell: 10.484 7.119 6.971 Å, 90.00 105.69 90.00°
Space group C2/m (No. 12)
Unique sites:
Tb1 0.218 0.000 0.098 x4
Re1 0.134 0.500 0.284 x4
Cl1 0.007 0.000 0.767 x4
O1 0.040 0.500 0.786 x4
O2 0.202 0.321 0.145 x8
O3 0.213 0.500 0.540 x4

---

(13)
A plane-wave DFT calculation with PBE-GGA was carried out for an optimized crystal structure of GaBCl2.

Formation energy without anion corrections   0.479 eV per atom
Size of the total moment   3.11 μB per cell
E above lowest polymorph   184 meV/atom

Cell: 6.676 6.676 9.475 Å, 90.00 90.00 90.00°
Space group I4_1/amd (No. 141, origin choice 2)
Unique sites:
Ga1 0.000 0.250 0.375 x4
B1 0.000 0.250 0.875 x4
Cl1 0.000 0.000 0.000 x8

---

(14)
A plane-wave DFT calculation with PBE-GGA was carried out for an optimized crystal structure of NdCoSi2.

Formation energy without anion corrections   -0.749 eV per atom
Size of the total moment   0.00 μB per cell

Cell: 3.9187 3.9187 15.6721 Å, 90.00 90.00 120.00°
Space group R-3m (No. 166, hexagonal axes)
Unique sites:
Nd1 0.0000 0.0000 0.0000 x3
Co1 0.0000 0.0000 0.5000 x3
Si1 0.0000 0.0000 0.2049 x6

---

(15)
A plane-wave DFT calculation with PBE-GGA was carried out for an optimized crystal structure of CeGdAlIn.

Formation enthalpy at 0 K   -0.35 eV/atom
Size of the total moment   24.85 μB per cell

Cell: 7.499 7.499 7.499 Å, 90.00 90.00 90.00°
Space group F-43m (No. 216)
Unique sites:
Ce1 0.000 0.000 0.000 x4
Gd1 0.000 0.000 0.500 x4
Al1 0.250 0.250 0.750 x4
In1 0.250 0.250 0.250 x4

---

(16)
A plane-wave DFT calculation with PBE-GGA was carried out for an optimized crystal structure of SbAsIr2.

Formation energy without anion corrections   0.488 eV per atom
Size of the total moment   0.00 μB per cell
E above lowest polymorph   646 meV/atom

Cell: 5.878 9.193 2.993 Å, 90.00 120.45 90.00°
Space group C2/m (No. 12)
Unique sites:
Sb1 0.000 0.000 0.000 x2
As1 0.000 0.500 0.000 x2
Ir1 0.250 0.250 0.500 x4

---

(17)
A plane-wave DFT calculation with PBE-GGA was carried out for an optimized crystal structure of Li3Sn4Pd.

Formation enthalpy at 0 K   -0.28 eV/atom
Size of the total moment   0.00 μB per cell

Cell: 23.117 4.850 3.252 Å, 90.00 97.63 90.00°
Space group C2/m (No. 12)
Unique sites:
Li1 0.000 0.000 0.000 x2
Li2 0.230 0.500 0.242 x4
Sn1 0.094 0.500 0.089 x4
Sn2 0.165 0.000 0.153 x4
Pd1 0.000 0.500 0.500 x2

---

(18)
A plane-wave DFT calculation with PBE-GGA was carried out for an optimized crystal structure of LiBe2Pt.

Formation enthalpy at 0 K   -0.26 eV/atom
Size of the total moment   0.00 μB per cell

Cell: 2.849 2.849 5.583 Å, 90.00 90.00 90.00°
Space group P4mm (No. 99)
Unique sites:
Li1 0.000 0.000 0.000 x1
Be1 0.000 0.000 0.521 x1
Be2 0.500 0.500 0.729 x1
Pt1 0.500 0.500 0.300 x1

---

(19)
A plane-wave DFT calculation with PBE-GGA was carried out for an optimized crystal structure of Cd5Hg12Se3.

Formation energy without anion corrections   0.039 eV per atom
Size of the total moment   0.00 μB per cell

Cell: 17.062 17.062 17.062 Å, 90.00 90.00 90.00°
Space group Ia-3d (No. 230)
Unique sites:
Cd1 0.000 0.000 0.000 x16
Cd2 0.000 0.250 0.375 x24
Hg1 0.025 0.084 0.649 x96
Se1 0.000 0.250 0.125 x24

---

(20)
A plane-wave DFT calculation with PBE-GGA was carried out for an optimized crystal structure of KSrAsRh2.

Formation enthalpy at 0 K   1.16 eV/atom
Size of the total moment   1.52 μB per cell

Cell: 4.896 4.896 5.582 Å, 90.00 90.00 90.00°
Space group P4/mmm (No. 123)
Unique sites:
K1 0.000 0.000 0.000 x1
Sr1 0.500 0.500 0.500 x1
As1 0.000 0.000 0.500 x1
Rh1 0.000 0.500 0.000 x2